First-principles (PBE-GGA) data for crystalline PmHgRh at its relaxed geometry, as listed in Alexandria via LeMat-Bulk.

The formation enthalpy at 0 K is -0.4758 eV per atom. The total energy is -13.8 eV/f.u. The energy above the lowest structure with this stoichiometry is 119 meV/atom.

The space group is P4/nmm (No. 129, origin choice 2) and the conventional cell measures 4.231, 4.231 and 7.554 Å, with angles of 90.00, 90.00 and 90.00 degrees. The inequivalent atoms are Pm at (0.250, 0.250, 0.151), Hg at (0.250, 0.750, 0.500) and Rh at (0.250, 0.250, 0.774).